1.
Computed, not measured: a relaxed structure of TaInAu2 at the GGA-PBE level of DFT.

```
TaInAu2
1.0
6.6964 0.0000 0.0000
0.0000 6.6964 0.0000
0.0000 0.0000 6.6964
Ta In Au
4 4 8
Cartesian
0.0000 0.0000 0.0000 Ta
0.0000 3.3482 3.3482 Ta
3.3482 0.0000 3.3482 Ta
3.3482 3.3482 0.0000 Ta
1.6741 1.6741 5.0223 In
1.6741 5.0223 1.6741 In
5.0223 1.6741 1.6741 In
5.0223 5.0223 5.0223 In
0.0000 0.0000 3.3482 Au
0.0000 3.3482 0.0000 Au
1.6741 1.6741 1.6741 Au
1.6741 5.0223 5.0223 Au
3.3482 0.0000 0.0000 Au
3.3482 3.3482 3.3482 Au
5.0223 1.6741 5.0223 Au
5.0223 5.0223 1.6741 Au
```

Summary:
Calculated density ... 15.26 g/cm3
V ... 18.77 Å³ per atom
Total DFT energy (no corrections) ... -5.03 eV/atom

2.
Computed, not measured: a relaxed structure of BeAlTcMo at the GGA-PBE level of DFT.

```
BeAlTcMo
1.0
5.9982 0.0000 0.0000
0.0000 5.9982 0.0000
0.0000 0.0000 5.9982
Be Al Tc Mo
4 4 4 4
Cartesian
0.0000 0.0000 0.0000 Be
0.0000 2.9991 2.9991 Be
2.9991 0.0000 2.9991 Be
2.9991 2.9991 0.0000 Be
1.4996 1.4996 1.4996 Al
1.4996 4.4987 4.4987 Al
4.4987 1.4996 4.4987 Al
4.4987 4.4987 1.4996 Al
0.0000 0.0000 2.9991 Tc
0.0000 2.9991 0.0000 Tc
2.9991 0.0000 0.0000 Tc
2.9991 2.9991 2.9991 Tc
1.4996 1.4996 4.4987 Mo
1.4996 4.4987 1.4996 Mo
4.4987 1.4996 1.4996 Mo
4.4987 4.4987 4.4987 Mo
```

Summary:
Calculated density ... 7.08 g/cm3
V ... 13.49 Å³ per atom
Total DFT energy (no corrections) ... -7.37 eV/atom

3.
Computed, not measured: a relaxed structure of NdGd2B2 at the GGA-PBE level of DFT.

```
NdGd2B2
1.0
3.7599 0.0000 0.0000
-1.8800 3.2562 0.0000
0.0000 0.0000 20.3999
Nd Gd B
2 4 4
Cartesian
0.0000 0.0000 0.0000 Nd
0.0000 0.0000 10.1999 Nd
0.0000 2.1708 3.1678 Gd
0.0000 2.1708 7.0322 Gd
1.8800 1.0854 13.3677 Gd
1.8800 1.0854 17.2321 Gd
0.0000 2.1708 12.0116 B
0.0000 2.1708 18.5882 B
1.8800 1.0854 1.8117 B
1.8800 1.0854 8.3883 B
```

Summary:
Calculated density ... 6.39 g/cm3
V ... 24.98 Å³ per atom
Total DFT energy (no corrections) ... -5.24 eV/atom

4.
Computed, not measured: a relaxed structure of Ho2TmMg3Hg2Au at the GGA-PBE level of DFT.

```
Ho2TmMg3Hg2Au
1.0
4.1690 0.0000 0.0000
0.0000 6.6217 3.8358
0.0000 -6.6217 3.8358
Ho Tm Mg Hg Au
2 1 3 2 1
Cartesian
0.0000 -3.9403 3.8358 Ho
0.0000 3.9403 3.8358 Ho
0.0000 0.0000 3.0185 Tm
2.0845 0.0000 0.3111 Mg
2.0845 -1.6097 5.1826 Mg
2.0845 1.6097 5.1826 Mg
2.0845 -2.1942 2.2841 Hg
2.0845 2.1942 2.2841 Hg
0.0000 0.0000 6.1060 Au
```

Summary:
Calculated density ... 9.17 g/cm3
V ... 23.53 Å³ per atom
Total DFT energy (no corrections) ... -2.95 eV/atom

no.,total magnetization (Bohr magnetons per cell)
1,0.17
2,0.00
3,0.03
4,0.01